1.
A relaxed Ta2WC crystal, computed with PBE.

**Calculated volume**: 14.8 Å³ per atom
**ΔE_f**: 326 kJ/mol of formula units
**Total DFT energy (no corrections)**: -10.626 eV per atom

Unit cell a=4.3300 b=4.3300 c=3.2116 alpha=90.00 beta=90.00 gamma=100.22
With the nearest neighbours (Å) after each atom.
Sites, in units of the cell vectors:
Ta: 0.0000 0.5000 0.0000  4 W 2.70, 4 C 2.70, 2 Ta 2.78
Ta: 0.5000 0.0000 0.0000  4 W 2.70, 4 C 2.70, 2 Ta 2.78
W: 0.0000 0.0000 0.5000  8 Ta 2.70, 2 C 2.78
C: 0.5000 0.5000 0.5000  8 Ta 2.70, 2 W 2.78



2.
A relaxed TaW2C crystal, computed with PBE.

**Calculated volume**: 14.8 Å³ per atom
**ΔE_f**: 145 kJ/mol of formula units
**Total DFT energy (no corrections)**: -11.370 eV per atom

Unit cell a=3.1866 b=3.0778 c=6.1992 alpha=90.00 beta=103.97 gamma=90.00
With the nearest neighbours (Å) after each atom.
Sites, in units of the cell vectors:
Ta: 0.0000 0.0000 0.0000  8 W 2.80-2.85, 2 Ta 3.08, 2 C 3.12
W: 0.3763 0.5000 0.7086  2 C 2.11
W: 0.6237 0.5000 0.2914  2 C 2.11
C: 0.5000 0.0000 0.5000  4 W 2.11



3.
A relaxed TaW2C crystal, computed with PBE.

**Calculated volume**: 14.0 Å³ per atom
**ΔE_f**: 172 kJ/mol of formula units
**Total DFT energy (no corrections)**: -11.299 eV per atom

Unit cell a=2.7507 b=2.7507 c=7.3948 alpha=90.00 beta=90.00 gamma=90.00
With the nearest neighbours (Å) after each atom.
Sites, in units of the cell vectors:
Ta: 0.0000 0.0000 0.0000  4 Ta 2.75
W: 0.5000 0.5000 0.3231  4 C 2.34, 1 W 2.62
W: 0.5000 0.5000 0.6769  4 C 2.34, 1 W 2.62
C: 0.0000 0.0000 0.5000  8 W 2.34



4.
A relaxed Ta2WC crystal, computed with PBE.

**Calculated volume**: 14.9 Å³ per atom
**ΔE_f**: 331 kJ/mol of formula units
**Total DFT energy (no corrections)**: -10.614 eV per atom

Unit cell a=4.2936 b=4.2936 c=3.2270 alpha=90.00 beta=90.00 gamma=90.00
With the nearest neighbours (Å) after each atom.
Sites, in units of the cell vectors:
Ta: 0.0000 0.5000 0.0000  4 C 2.69, 4 W 2.69
Ta: 0.5000 0.0000 0.0000  4 C 2.69, 4 W 2.69
W: 0.0000 0.0000 0.5000  8 Ta 2.69
C: 0.5000 0.5000 0.5000  8 Ta 2.69



> What is the ΔE_f in the fourth record?

331 kJ/mol of formula units



> The lowest calculated volume belongs to which entry?

number 3



> total DFT energy (no corrections) of number 1 (Ta2WC)?

-10.626 eV per atom



> Among the records above, which one has the highest total DFT energy (no corrections)?

number 4